The following is a DFT calculation (PBE) of an optimized crystal structure of AcHF4.

Calculated values
N(E_F) ... 0.00 states/eV/atom
Energy above the most stable polymorph in this dataset ... 0.0938 eV per atom
Uncorrected energy ... -5.741 eV/atom
Space-group type ... P2_1/m (11)

a = 4.8870 Å, b = 6.7106 Å, c = 7.4907 Å
α = 90.00°, β = 90.00°, γ = 136.70°
Element x y z (fractional)
F1 0.6173 0.7504 0.2500
F2 0.8682 0.2499 0.5794
F3 0.6770 0.7499 0.7500
F4 0.8682 0.2499 0.9206
F5 0.3827 0.2496 0.7500
F6 0.1318 0.7501 0.4206
F7 0.1318 0.7501 0.0794
F8 0.3230 0.2501 0.2500
Ac1 0.8093 0.2505 0.2500
Ac2 0.1907 0.7495 0.7500
H1 0.8160 0.7510 0.2500
H2 0.1840 0.2490 0.7500